# TbTmTlAu | Alexandria via LeMat-Bulk | GGA-PBE | relaxed
# **Energy**: -4.249 eV/atom
# **Energy of formation**: -0.562 eV/atom
# **ΔE to the lowest computed polymorph**: 18 kJ/mol of formula units
data_TbTmTlAu
_chemical_formula_sum 'Tb4 Tm4 Tl4 Au4'
_cell_length_a 7.381
_cell_length_b 7.381
_cell_length_c 7.381
_cell_angle_alpha 90.00
_cell_angle_beta 90.00
_cell_angle_gamma 90.00
_symmetry_space_group_name_H-M 'F -4 3 m'
_symmetry_Int_Tables_number 216
_symmetry_space_group_name_Hall 'F -4 2 3'
loop_
_atom_site_label
_atom_site_fract_x
_atom_site_fract_y
_atom_site_fract_z
Tb1 0.000 0.000 0.000
Tm1 0.000 0.000 0.500
Tl1 0.250 0.250 0.250
Au1 0.250 0.250 0.750